Entry 1:
SrLa2Ni PBE optimized geometry; calculated volume = 154 Å³ per cell; calculated total energy = -4.351 eV/atom; distance to the lowest polymorph of the same formula = 0.34 eV/f.u.; energy relative to the elements = -0.02 eV/atom; total moment = 0.00 μB per cell
1.0
2.0098 1.1604 10.9940
-2.0098 1.1604 10.9940
0.0000 -2.3208 10.9940
Sr La Ni
1 2 1
Direct
0.0000 0.0000 0.0000 Sr
0.1182 0.1182 0.1182 La
0.8818 0.8818 0.8818 La
0.5000 0.5000 0.5000 Ni

Entry 2:
TaTlHg2 PBE optimized geometry; calculated volume = 87 Å³ per cell; calculated total energy = -3.267 eV/atom; energy relative to the elements = 0.44 eV/atom; total moment = 0.00 μB per cell
1.0
3.0015 -4.6676 0.0000
3.0015 4.6676 0.0000
-0.1721 0.0000 3.0970
Ta Tl Hg
1 1 2
Direct
0.0000 0.0000 0.0000 Ta
0.5000 0.5000 0.0000 Tl
0.0000 0.5000 0.5000 Hg
0.5000 0.0000 0.5000 Hg

Entry 3:
Ca3Tl3Cd2Hg PBE optimized geometry; calculated volume = 255 Å³ per cell; calculated total energy = -1.962 eV/atom; energy relative to the elements = -0.27 eV/atom; total moment = 0.00 μB per cell
1.0
8.7627 0.0000 0.0000
-4.3814 7.5888 0.0000
0.0000 0.0000 3.8294
Ca Tl Cd Hg
3 3 2 1
Direct
0.0000 0.7235 0.0000 Ca
0.2765 0.2765 0.0000 Ca
0.7235 0.0000 0.0000 Ca
0.0000 0.3919 0.5000 Tl
0.3919 0.0000 0.5000 Tl
0.6081 0.6081 0.5000 Tl
0.3333 0.6667 0.0000 Cd
0.6667 0.3333 0.0000 Cd
0.0000 0.0000 0.5000 Hg

Entry 4:
LiFeTcP2 PBE optimized geometry; calculated volume = 65 Å³ per cell; calculated total energy = -5.130 eV/atom; distance to the lowest polymorph of the same formula = 8.64 eV/f.u.; energy relative to the elements = 1.18 eV/atom; total moment = 0.00 μB per cell
1.0
4.1097 0.0000 0.0000
0.0000 4.1097 0.0000
0.0000 0.0000 3.8749
Li Fe Tc P
1 1 1 2
Direct
0.0000 0.0000 0.0000 Li
0.5000 0.5000 0.5000 Fe
0.0000 0.0000 0.5000 Tc
0.0000 0.5000 0.0000 P
0.5000 0.0000 0.0000 P

Entry 5:
CsZr2Pt PBE optimized geometry; calculated volume = 89 Å³ per cell; calculated total energy = -5.493 eV/atom; distance to the lowest polymorph of the same formula = 0.00 eV/f.u.; energy relative to the elements = 0.50 eV/atom; total moment = 0.00 μB per cell
1.0
0.0000 3.5419 3.5419
3.5419 0.0000 3.5419
3.5419 3.5419 0.0000
Cs Zr Pt
1 2 1
Direct
0.0000 0.0000 0.0000 Cs
0.2500 0.2500 0.2500 Zr
0.7500 0.7500 0.7500 Zr
0.5000 0.5000 0.5000 Pt

Entry 6:
NaSmSnIr PBE optimized geometry; calculated volume = 84 Å³ per cell; calculated total energy = -5.104 eV/atom; energy relative to the elements = -0.38 eV/atom; total moment = 0.00 μB per cell
1.0
0.0000 3.4724 3.4724
3.4724 0.0000 3.4724
3.4724 3.4724 0.0000
Na Sm Sn Ir
1 1 1 1
Direct
0.0000 0.0000 0.0000 Na
0.2500 0.2500 0.2500 Sm
0.7500 0.7500 0.7500 Sn
0.5000 0.5000 0.5000 Ir

Entry 7:
NbFe4Pt5 PBE optimized geometry; calculated volume = 146 Å³ per cell; calculated total energy = -7.733 eV/atom; energy relative to the elements = -0.32 eV/atom; total moment = 13.35 μB per cell
1.0
2.7745 0.0000 0.0000
0.0000 2.7745 0.0000
0.0000 0.0000 18.9419
Nb Fe Pt
1 4 5
Direct
0.0000 0.0000 0.0000 Nb
0.0000 0.0000 0.2075 Fe
0.0000 0.0000 0.4024 Fe
0.0000 0.0000 0.5976 Fe
0.0000 0.0000 0.7925 Fe
0.5000 0.5000 0.1084 Pt
0.5000 0.5000 0.3045 Pt
0.5000 0.5000 0.5000 Pt
0.5000 0.5000 0.6955 Pt
0.5000 0.5000 0.8916 Pt

Entry 8:
Pr4NdTe5 PBE optimized geometry; calculated volume = 328 Å³ per cell; calculated total energy = -5.395 eV/atom; total moment = 0.00 μB per cell
1.0
-2.2587 2.2587 16.0633
2.2587 -2.2587 16.0633
2.2587 2.2587 -16.0633
Pr Nd Te
4 1 5
Direct
0.1020 0.1020 0.0000 Pr
0.3037 0.3037 0.0000 Pr
0.6963 0.6963 0.0000 Pr
0.8980 0.8980 0.0000 Pr
0.5000 0.5000 0.0000 Nd
0.0000 0.0000 0.0000 Te
0.2023 0.2023 0.0000 Te
0.4020 0.4020 0.0000 Te
0.5980 0.5980 0.0000 Te
0.7977 0.7977 0.0000 Te

Entry 9:
LiNdOs PBE optimized geometry; calculated volume = 121 Å³ per cell; calculated total energy = -5.868 eV/atom; energy relative to the elements = 0.10 eV/atom; total moment = 0.00 μB per cell
1.0
5.2794 0.0000 0.0000
0.0000 4.5741 0.0000
-2.4172 0.0000 5.0136
Li Nd Os
2 2 2
Direct
0.0470 0.2500 0.4068 Li
0.9530 0.7500 0.5932 Li
0.2649 0.2500 0.9783 Nd
0.7351 0.7500 0.0217 Nd
0.3995 0.7500 0.4446 Os
0.6005 0.2500 0.5554 Os

Entry 10:
GdTiCu2 PBE optimized geometry; calculated volume = 72 Å³ per cell; calculated total energy = -7.530 eV/atom; distance to the lowest polymorph of the same formula = 0.39 eV/f.u.; energy relative to the elements = 0.01 eV/atom; total moment = 5.76 μB per cell
1.0
4.6765 0.0000 0.0000
0.0000 4.6765 0.0000
0.0000 0.0000 3.3084
Gd Ti Cu
1 1 2
Direct
0.0000 0.0000 0.0000 Gd
0.5000 0.5000 0.0000 Ti
0.0000 0.5000 0.5000 Cu
0.5000 0.0000 0.5000 Cu

Entry 11:
Ce3H3Pd PBE optimized geometry; calculated volume = 249 Å³ per cell; calculated total energy = -4.990 eV/atom; total moment = 10.03 μB per cell
1.0
6.2909 0.0000 0.0000
0.0000 6.2909 0.0000
0.0000 0.0000 6.2909
Ce H Pd
6 6 2
Direct
0.0000 0.2500 0.5000 Ce
0.0000 0.7500 0.5000 Ce
0.2500 0.5000 0.0000 Ce
0.5000 0.0000 0.2500 Ce
0.5000 0.0000 0.7500 Ce
0.7500 0.5000 0.0000 Ce
0.0000 0.5000 0.2500 H
0.0000 0.5000 0.7500 H
0.2500 0.0000 0.5000 H
0.5000 0.2500 0.0000 H
0.5000 0.7500 0.0000 H
0.7500 0.0000 0.5000 H
0.0000 0.0000 0.0000 Pd
0.5000 0.5000 0.5000 Pd

Entry 12:
Ac2GeS4 PBE optimized geometry; calculated volume = 184 Å³ per cell; calculated total energy = -5.599 eV/atom; total moment = 0.00 μB per cell
1.0
-3.4323 3.4323 3.9058
3.4323 -3.4323 3.9058
3.4323 3.4323 -3.9058
Ac Ge S
2 1 4
Direct
0.2500 0.7500 0.5000 Ac
0.7500 0.2500 0.5000 Ac
0.0000 0.0000 0.0000 Ge
0.2566 0.2566 0.5133 S
0.2566 0.7434 0.0000 S
0.7434 0.2566 0.0000 S
0.7434 0.7434 0.4867 S

Entry 13:
K2ZrPaO6 PBE optimized geometry; calculated volume = 159 Å³ per cell; calculated total energy = -7.767 eV/atom; total moment = 1.02 μB per cell
1.0
0.0000 4.3011 4.3011
4.3011 0.0000 4.3011
4.3011 4.3011 0.0000
K Zr Pa O
2 1 1 6
Direct
0.2500 0.2500 0.2500 K
0.7500 0.7500 0.7500 K
0.0000 0.0000 0.0000 Zr
0.5000 0.5000 0.5000 Pa
0.2470 0.2470 0.7530 O
0.2470 0.7530 0.2470 O
0.2470 0.7530 0.7530 O
0.7530 0.2470 0.2470 O
0.7530 0.2470 0.7530 O
0.7530 0.7530 0.2470 O

Entry 14:
HfTlReHg2 PBE optimized geometry; calculated volume = 142 Å³ per cell; calculated total energy = -4.376 eV/atom; energy relative to the elements = 0.70 eV/atom; total moment = 0.17 μB per cell
1.0
5.3687 0.0000 0.0000
0.0000 5.3687 0.0000
0.0000 0.0000 4.9107
Hf Tl Re Hg
1 1 1 2
Direct
0.0000 0.0000 0.0000 Hf
0.5000 0.5000 0.0000 Tl
0.0000 0.0000 0.5000 Re
0.0000 0.5000 0.5000 Hg
0.5000 0.0000 0.5000 Hg

Entry 15:
Ac2MgPdO5 PBE optimized geometry; calculated volume = 293 Å³ per cell; calculated total energy = -6.523 eV/atom; total moment = 0.00 μB per cell
1.0
7.0976 0.0000 0.0000
0.0000 7.0976 0.0000
0.0000 0.0000 5.8255
Ac Mg Pd O
4 2 2 10
Direct
0.1728 0.3272 0.0000 Ac
0.3272 0.8272 0.0000 Ac
0.6728 0.1728 0.0000 Ac
0.8272 0.6728 0.0000 Ac
0.0000 0.0000 0.5000 Mg
0.5000 0.5000 0.5000 Mg
0.0000 0.5000 0.5000 Pd
0.5000 0.0000 0.5000 Pd
0.0000 0.0000 0.0000 O
0.1453 0.6453 0.2634 O
0.1453 0.6453 0.7366 O
0.3547 0.1453 0.2634 O
0.3547 0.1453 0.7366 O
0.5000 0.5000 0.0000 O
0.6453 0.8547 0.2634 O
0.6453 0.8547 0.7366 O
0.8547 0.3547 0.2634 O
0.8547 0.3547 0.7366 O

Entry 16:
Ac2Ag3Au PBE optimized geometry; calculated volume = 163 Å³ per cell; calculated total energy = -3.796 eV/atom; distance to the lowest polymorph of the same formula = 0.00 eV/f.u.; energy relative to the elements = -0.45 eV/atom; total moment = 0.00 μB per cell
1.0
4.0003 0.0000 0.0000
0.0000 4.8930 0.0000
0.0000 0.0000 8.3399
Ac Ag Au
2 3 1
Direct
0.0000 0.0000 0.0000 Ac
0.0000 0.5000 0.4850 Ac
0.5000 0.0000 0.6627 Ag
0.5000 0.5000 0.1565 Ag
0.5000 0.5000 0.8230 Ag
0.5000 0.0000 0.3255 Au

Entry 17:
CaPmDy4Se8 PBE optimized geometry; calculated volume = 433 Å³ per cell; calculated total energy = -5.587 eV/atom; total moment = 0.00 μB per cell
1.0
4.2350 2.4451 6.9730
-4.2350 2.4451 6.9730
0.0000 -4.8902 6.9730
Ca Pm Dy Se
1 1 4 8
Direct
0.0000 0.0000 0.0000 Ca
0.6280 0.6280 0.6280 Pm
0.1197 0.6280 0.6280 Dy
0.2516 0.2516 0.2516 Dy
0.6280 0.1197 0.6280 Dy
0.6280 0.6280 0.1197 Dy
0.3794 0.3794 0.8550 Se
0.3794 0.8550 0.3794 Se
0.3842 0.3842 0.3842 Se
0.4036 0.8706 0.8706 Se
0.8550 0.3794 0.3794 Se
0.8657 0.8657 0.8657 Se
0.8706 0.4036 0.8706 Se
0.8706 0.8706 0.4036 Se

Entry 18:
GaBiH3 PBE optimized geometry; calculated volume = 59 Å³ per cell; calculated total energy = -2.810 eV/atom; distance to the lowest polymorph of the same formula = 0.00 eV/f.u.; total moment = 0.00 μB per cell
1.0
3.8933 0.0000 0.0000
0.0000 3.8933 0.0000
0.0000 0.0000 3.8933
Ga Bi H
1 1 3
Direct
0.0000 0.0000 0.0000 Ga
0.5000 0.5000 0.5000 Bi
0.0000 0.0000 0.5000 H
0.0000 0.5000 0.0000 H
0.5000 0.0000 0.0000 H

Entry 19:
SiAg2AuC PBE optimized geometry; calculated volume = 80 Å³ per cell; calculated total energy = -4.002 eV/atom; total moment = 0.00 μB per cell
1.0
4.7550 0.0000 0.0000
0.0000 4.7550 0.0000
0.0000 0.0000 3.5578
Si Ag Au C
1 2 1 1
Direct
0.0000 0.0000 0.0000 Si
0.0000 0.5000 0.5000 Ag
0.5000 0.0000 0.5000 Ag
0.5000 0.5000 0.0000 Au
0.0000 0.0000 0.5000 C

Entry 20:
LiMg3Zn4 PBE optimized geometry; calculated volume = 138 Å³ per cell; calculated total energy = -1.576 eV/atom; energy relative to the elements = -0.10 eV/atom; total moment = 0.00 μB per cell
1.0
3.3650 0.0000 0.0000
0.0000 3.3650 0.0000
0.0000 0.0000 12.1909
Li Mg Zn
1 3 4
Direct
0.0000 0.0000 0.0000 Li
0.0000 0.0000 0.2427 Mg
0.0000 0.0000 0.5000 Mg
0.0000 0.0000 0.7573 Mg
0.5000 0.5000 0.1110 Zn
0.5000 0.5000 0.3726 Zn
0.5000 0.5000 0.6274 Zn
0.5000 0.5000 0.8890 Zn